An optimized crystal structure of Li2Ac3SnPd6. Source: Alexandria via LeMat-Bulk, functional PBE-GGA.

## Properties
The value obtained for the magnetization is 0.00 μB/cell. As for the symmetry: P-3m1, No. 164. Its formation energy is -0.66 eV/atom.

a b c (Å): 6.000 6.000 8.823
angles (deg): 90.00 90.00 120.00
Positions (direct):
Pd1 0.645 0.823 0.267
Pd2 0.355 0.177 0.733
Pd3 0.823 0.645 0.733
Pd4 0.823 0.177 0.733
Pd5 0.177 0.823 0.267
Pd6 0.177 0.355 0.267
Ac1 0.333 0.667 0.615
Ac2 0.000 0.000 0.000
Ac3 0.667 0.333 0.385
Sn1 0.000 0.000 0.500
Li1 0.333 0.667 0.020
Li2 0.667 0.333 0.980

***

An optimized crystal structure of Li2AcSnPd. Source: Alexandria via LeMat-Bulk, functional PBE-GGA.

## Properties
The value obtained for the magnetization is 0.00 μB/cell. As for the symmetry: Imm2, No. 44. Its formation energy is -0.50 eV/atom.

a b c (Å): 4.153 4.495 6.852
angles (deg): 109.15 107.64 90.00
Positions (direct):
Li1 0.703 0.203 0.406
Li2 0.056 0.056 0.112
Pd1 0.841 0.841 0.682
Sn1 0.186 0.686 0.371
Ac1 0.427 0.427 0.854

***

An optimized crystal structure of LiAcSnPd2. Source: Alexandria via LeMat-Bulk, functional PBE-GGA.

## Properties
The value obtained for the magnetization is 0.00 μB/cell. As for the symmetry: I-4m2, No. 119. Its formation energy is -0.74 eV/atom.

a b c (Å): 4.225 4.225 6.906
angles (deg): 107.81 107.81 90.00
Positions (direct):
Pd1 0.389 0.389 0.779
Pd2 0.611 0.611 0.221
Ac1 0.000 0.000 0.000
Sn1 0.250 0.750 0.500
Li1 0.750 0.250 0.500